VASP calculation (PBE) on a geometry-optimized KSbPt structure.

Properties
Space-group type: P6_3/mmc (194)
VASP energy in eV/f.u.: -12.49
E above lowest polymorph in meV per atom: 81

Lattice parameters (Å, degrees): 4.4752 4.4752 10.7969 90.00 90.00 120.00
Closest atoms and distances in Å follow each position.
Sites, in units of the cell vectors:
K 0.0000 0.0000 0.0000  6 Sb 3.74, 6 Pt 3.74
K 0.0000 0.0000 0.5000  6 Pt 3.74, 6 Sb 3.74
Pt 0.6667 0.3333 0.2500  3 Sb 2.58
Pt 0.3333 0.6667 0.7500  3 Sb 2.58
Sb 0.3333 0.6667 0.2500  3 Pt 2.58
Sb 0.6667 0.3333 0.7500  3 Pt 2.58